Entry 1:
The following is a DFT calculation (PBE) of a geometry-optimized Sn2Mo structure.

Cell and atoms, written as extended XYZ:
```
6
Lattice="-3.408 3.408 2.721 3.408 -3.408 2.721 3.408 3.408 -2.721" Properties=species:S:1:pos:R:3 pbc="T T T"
Sn 4.459 1.051 0.000
Sn 1.051 2.357 0.000
Sn 2.357 1.051 2.721
Sn -1.051 2.357 2.721
Mo 0.000 0.000 1.361
Mo 0.000 0.000 4.082
```

Formation energy from the elements = 0.04 eV/f.u.
Crystal system = tetragonal

***

Entry 2:
The following is a DFT calculation (PBE) of a geometry-optimized Sn6Mo structure.

Cell and atoms, written as extended XYZ:
```
14
Lattice="4.515 -3.410 0.000 4.515 3.410 0.000 0.000 0.000 11.293" Properties=species:S:1:pos:R:3 pbc="T T T"
Sn 2.754 1.870 2.823
Sn 4.515 2.758 6.957
Sn 4.515 2.758 9.981
Sn 2.989 0.000 0.000
Sn 2.989 0.000 5.646
Sn 6.276 1.870 2.823
Sn 2.754 -1.870 8.469
Sn 6.041 0.000 0.000
Sn 6.041 0.000 5.646
Sn 4.515 -2.758 1.311
Sn 4.515 -2.758 4.335
Sn 6.276 -1.870 8.469
Mo 4.515 0.413 8.469
Mo 4.515 -0.413 2.823
```

Formation energy from the elements = 1.29 eV/f.u.
Crystal system = orthorhombic

***

Entry 3:
The following is a DFT calculation (PBE) of a geometry-optimized SnMo structure.

Cell and atoms, written as extended XYZ:
```
2
Lattice="0.000 3.124 3.124 3.124 0.000 3.124 3.124 3.124 0.000" Properties=species:S:1:pos:R:3 pbc="T T T"
Sn 0.000 0.000 0.000
Mo 1.562 1.562 1.562
```

Energy above the most stable polymorph in this dataset = 127.6 kJ/mol of atoms
Formation energy from the elements = 3.13 eV/f.u.
Crystal system = cubic

***

Entry 4:
The following is a DFT calculation (PBE) of a geometry-optimized SnMo structure.

Cell and atoms, written as extended XYZ:
```
8
Lattice="5.477 0.000 0.000 0.000 5.477 0.000 0.000 0.000 5.509" Properties=species:S:1:pos:R:3 pbc="T T T"
Sn 1.086 1.086 0.000
Sn 1.653 3.825 2.754
Sn 3.825 1.653 2.754
Sn 4.391 4.391 0.000
Mo 1.030 1.030 2.754
Mo 1.708 3.769 0.000
Mo 3.769 1.708 0.000
Mo 4.447 4.447 2.754
```

Energy above the most stable polymorph in this dataset = 55.4 kJ/mol of atoms
Formation energy from the elements = 1.63 eV/f.u.
Crystal system = tetragonal

***

Entry 5:
The following is a DFT calculation (PBE) of a geometry-optimized SnMo structure.

Cell and atoms, written as extended XYZ:
```
4
Lattice="3.209 0.000 0.000 0.000 4.217 0.000 -1.600 0.000 6.599" Properties=species:S:1:pos:R:3 pbc="T T T"
Sn 0.001 1.054 1.039
Sn 1.608 3.163 5.560
Mo 0.004 3.163 3.271
Mo 1.605 1.054 3.328
```

Energy above the most stable polymorph in this dataset = 19.8 kJ/mol of atoms
Formation energy from the elements = 0.90 eV/f.u.
Crystal system = monoclinic

***

Entry 6:
The following is a DFT calculation (PBE) of a geometry-optimized Sn5Mo structure.

Cell and atoms, written as extended XYZ:
```
12
Lattice="-3.609 3.609 5.583 3.609 -3.609 5.583 3.609 3.609 -5.583" Properties=species:S:1:pos:R:3 pbc="T T T"
Sn 0.000 0.000 0.000
Sn 4.685 1.076 -1.613
Sn 1.076 2.532 -1.613
Sn 4.685 1.076 1.613
Sn 1.076 2.532 1.613
Sn 0.000 0.000 5.583
Sn 2.532 1.076 3.970
Sn -1.076 2.532 3.970
Sn 2.532 1.076 7.196
Sn -1.076 2.532 7.196
Mo 0.000 0.000 2.791
Mo 0.000 0.000 8.374
```

Formation energy from the elements = 0.17 eV/f.u.
Crystal system = tetragonal

***

Entry 7:
The following is a DFT calculation (PBE) of a geometry-optimized SnMo4 structure.

Cell and atoms, written as extended XYZ:
```
5
Lattice="4.816 0.000 0.000 0.000 4.816 0.000 0.000 0.000 4.816" Properties=species:S:1:pos:R:3 pbc="T T T"
Sn 0.000 0.000 0.000
Mo 0.000 0.000 2.408
Mo 0.000 2.408 0.000
Mo 2.408 0.000 0.000
Mo 2.408 2.408 2.408
```

Formation energy from the elements = 12.34 eV/f.u.
Crystal system = cubic

***

Entry 8:
The following is a DFT calculation (PBE) of a geometry-optimized Sn4Mo structure.

Cell and atoms, written as extended XYZ:
```
5
Lattice="-2.991 2.991 3.419 2.991 -2.991 3.419 2.991 2.991 -3.419" Properties=species:S:1:pos:R:3 pbc="T T T"
Sn 1.813 1.813 -1.105
Sn 1.178 -1.178 4.524
Sn 1.178 1.178 2.314
Sn -1.178 1.178 4.524
Mo 0.000 0.000 0.000
```

Energy above the most stable polymorph in this dataset = 0.0 kJ/mol of atoms
Formation energy from the elements = 0.55 eV/f.u.
Crystal system = tetragonal

***

Entry 9:
The following is a DFT calculation (PBE) of a geometry-optimized SnMo2 structure.

Cell and atoms, written as extended XYZ:
```
3
Lattice="-1.652 1.652 4.763 1.652 -1.652 4.763 1.652 1.652 -4.763" Properties=species:S:1:pos:R:3 pbc="T T T"
Sn 0.000 0.000 0.000
Mo 0.000 0.000 3.068
Mo 0.000 0.000 6.458
```

Formation energy from the elements = 0.38 eV/f.u.
Crystal system = tetragonal

***

Entry 10:
The following is a DFT calculation (PBE) of a geometry-optimized SnMo structure.

Cell and atoms, written as extended XYZ:
```
4
Lattice="4.696 0.000 0.000 -2.348 4.067 0.000 0.000 0.000 5.385" Properties=species:S:1:pos:R:3 pbc="T T T"
Sn 0.000 2.711 1.346
Sn 2.348 1.356 4.038
Mo 0.000 2.711 4.038
Mo 2.348 1.356 1.346
```

Energy above the most stable polymorph in this dataset = 79.4 kJ/mol of atoms
Formation energy from the elements = 2.13 eV/f.u.
Crystal system = hexagonal

***

Entry 11:
The following is a DFT calculation (PBE) of a geometry-optimized Sn2Mo structure.

Cell and atoms, written as extended XYZ:
```
18
Lattice="5.532 0.000 0.000 -2.766 4.791 0.000 0.000 0.000 14.332" Properties=species:S:1:pos:R:3 pbc="T T T"
Sn -1.383 2.396 0.914
Sn -1.383 2.396 3.863
Sn 0.000 1.609 7.166
Sn -1.373 3.987 11.943
Sn 1.393 0.804 2.389
Sn 2.766 0.000 5.691
Sn 2.766 0.000 8.640
Sn 1.383 2.396 10.469
Sn 1.383 2.396 13.418
Sn 1.373 3.987 2.389
Sn 4.139 0.804 11.943
Sn 2.766 3.183 7.166
Mo 0.000 0.000 0.000
Mo 0.000 0.000 4.777
Mo 0.000 0.000 9.555
Mo -1.383 2.396 9.555
Mo 2.766 0.000 0.000
Mo 1.383 2.396 4.777
```

Formation energy from the elements = 0.02 eV/f.u.
Crystal system = hexagonal

***

Entry 12:
The following is a DFT calculation (PBE) of a geometry-optimized SnMo structure.

Cell and atoms, written as extended XYZ:
```
12
Lattice="8.342 0.000 0.000 -4.171 7.224 0.000 0.000 0.000 4.575" Properties=species:S:1:pos:R:3 pbc="T T T"
Sn 0.000 2.872 1.144
Sn -1.684 5.789 1.144
Sn 2.487 1.436 3.431
Sn 1.684 5.789 1.144
Sn 5.855 1.436 3.431
Sn 4.171 4.353 3.431
Mo -1.365 4.028 3.431
Mo 1.365 4.028 3.431
Mo 0.000 6.393 3.431
Mo 4.171 0.832 1.144
Mo 2.806 3.196 1.144
Mo 5.536 3.196 1.144
```

Energy above the most stable polymorph in this dataset = 0.0 kJ/mol of atoms
Formation energy from the elements = 0.49 eV/f.u.
Crystal system = hexagonal

***

Repeat the sixth record exactly.
The following is a DFT calculation (PBE) of a geometry-optimized Sn5Mo structure.

Cell and atoms, written as extended XYZ:
```
12
Lattice="-3.609 3.609 5.583 3.609 -3.609 5.583 3.609 3.609 -5.583" Properties=species:S:1:pos:R:3 pbc="T T T"
Sn 0.000 0.000 0.000
Sn 4.685 1.076 -1.613
Sn 1.076 2.532 -1.613
Sn 4.685 1.076 1.613
Sn 1.076 2.532 1.613
Sn 0.000 0.000 5.583
Sn 2.532 1.076 3.970
Sn -1.076 2.532 3.970
Sn 2.532 1.076 7.196
Sn -1.076 2.532 7.196
Mo 0.000 0.000 2.791
Mo 0.000 0.000 8.374
```

Formation energy from the elements = 0.17 eV/f.u.
Crystal system = tetragonal

***

- What is the formation energy from the elements in the eighth record?
  0.55 eV/f.u.

***

Repeat the tenth record exactly.
The following is a DFT calculation (PBE) of a geometry-optimized SnMo structure.

Cell and atoms, written as extended XYZ:
```
4
Lattice="4.696 0.000 0.000 -2.348 4.067 0.000 0.000 0.000 5.385" Properties=species:S:1:pos:R:3 pbc="T T T"
Sn 0.000 2.711 1.346
Sn 2.348 1.356 4.038
Mo 0.000 2.711 4.038
Mo 2.348 1.356 1.346
```

Energy above the most stable polymorph in this dataset = 79.4 kJ/mol of atoms
Formation energy from the elements = 2.13 eV/f.u.
Crystal system = hexagonal